First-principles (PBE) data for a relaxed structure of Tb4YAgS8, as listed in the Alexandria database.

Results
ρ: 4.89 g/cm3
Total energy: -6.1752 eV/atom
ΔE_f (raw): -1.828 eV/atom
Calculated volume: 1109.9 Å³/cell

Cell: 8.0623 8.0623 19.7166 Å, 90.00 90.00 120.00°
Space group R3m (No. 160, hexagonal axes)
Inequivalent atoms, fractional coordinates:
Tb1 0.0000 0.0000 0.0000
Tb2 0.1723 0.3446 0.2070
Y1 0.0000 0.0000 0.3794
Ag1 0.0000 0.0000 0.7500
S1 0.0000 0.0000 0.1335
S2 0.0000 0.0000 0.6175
S3 0.0204 0.5102 0.1274
S4 0.1783 0.3565 0.9559

=====

First-principles (PBE) data for a relaxed structure of Np3MnTl3Te8, as listed in the Alexandria database.

Results
ρ: 7.32 g/cm3
Total energy: -5.8156 eV/atom
ΔE_f (raw): -0.467 eV/atom
Calculated volume: 1089.5 Å³/cell

Cell: 15.056 8.724 9.689 Å, 90.00 121.12 90.00°
Space group C2/m (No. 12)
Inequivalent atoms, fractional coordinates:
Np1 0.000 0.000 0.000
Np2 0.250 0.250 0.000
Mn1 0.000 0.500 0.000
Tl1 0.000 0.500 0.500
Tl2 0.250 0.250 0.500
Te1 0.012 0.262 0.799
Te2 0.224 0.500 0.201
Te3 0.239 0.000 0.217

=====

First-principles (PBE) data for a relaxed structure of DyThGa2, as listed in the Alexandria database.

Results
ρ: 9.16 g/cm3
Total energy: -4.9892 eV/atom
Distance to the lowest polymorph of the same formula: 99 meV/atom
Calculated volume: 387.2 Å³/cell
DFT formation energy: -0.4703 eV/atom

Cell: 7.289 7.289 7.289 Å, 90.00 90.00 90.00°
Space group Fm-3m (No. 225)
Inequivalent atoms, fractional coordinates:
Dy1 0.000 0.000 0.000
Th1 0.000 0.000 0.500
Ga1 0.250 0.250 0.250

=====

First-principles (PBE) data for a relaxed structure of CaOsBr2, as listed in the Alexandria database.

Results
ρ: 5.94 g/cm3
Total energy: -4.1807 eV/atom
Distance to the lowest polymorph of the same formula: 194 meV/atom
ΔE_f (raw): -0.036 eV/atom
Calculated volume: 218.2 Å³/cell

Cell: 17.392 3.344 3.832 Å, 90.00 101.78 90.00°
Space group Cm (No. 8)
Inequivalent atoms, fractional coordinates:
Ca1 0.000 0.000 0.000
Os1 0.144 0.500 0.119
Br1 0.179 0.000 0.651
Br2 0.412 0.000 0.418

=====

First-principles (PBE) data for a relaxed structure of RbAc3Ga4O12, as listed in the Alexandria database.

Results
ρ: 5.17 g/cm3
Total energy: -6.3354 eV/atom
ΔE_f (raw): -2.090 eV/atom
Calculated volume: 1191.8 Å³/cell

Cell: 12.2080 12.2080 9.2339 Å, 90.00 90.00 120.00°
Space group R32 (No. 155, hexagonal axes)
Inequivalent atoms, fractional coordinates:
Rb1 0.0000 0.0000 0.0000
Ac1 0.0000 0.5433 0.0000
Ga1 0.0000 0.0000 0.5000
Ga2 0.0000 0.4556 0.5000
O1 0.0000 0.6032 0.5000
O2 0.0000 0.8526 0.5000
O3 0.0234 0.2110 0.1848

=====

First-principles (PBE) data for a relaxed structure of PmNd2DyS4, as listed in the Alexandria database.

Results
ρ: 6.54 g/cm3
Total energy: -6.4420 eV/atom
ΔE_f (raw): -2.017 eV/atom
Calculated volume: 183.8 Å³/cell

Cell: 6.970 3.977 7.012 Å, 90.00 108.94 90.00°
Space group P2/m (No. 10)
Inequivalent atoms, fractional coordinates:
Pm1 0.000 0.000 0.000
Nd1 0.000 0.500 0.500
Nd2 0.500 0.000 0.500
Dy1 0.500 0.500 0.000
S1 0.253 0.500 0.242
S2 0.260 0.000 0.762

=====

First-principles (PBE) data for a relaxed structure of YInGaAg2, as listed in the Alexandria database.

Results
ρ: 6.24 g/cm3
Total energy: -3.4448 eV/atom
Calculated volume: 130.2 Å³/cell
DFT formation energy: 0.1415 eV/atom

Cell: 4.883 4.883 5.462 Å, 90.00 90.00 90.00°
Space group P4/mmm (No. 123)
Inequivalent atoms, fractional coordinates:
Y1 0.000 0.000 0.000
In1 0.500 0.500 0.000
Ga1 0.000 0.000 0.500
Ag1 0.000 0.500 0.500

=====

First-principles (PBE) data for a relaxed structure of Yb, as listed in the Alexandria database.

Results
ρ: 7.19 g/cm3
Total energy: -1.5247 eV/atom
Distance to the lowest polymorph of the same formula: 1 meV/atom
Calculated volume: 159.8 Å³/cell
DFT formation energy: 0.0013 eV/atom

Cell: 3.8230 3.8230 12.6252 Å, 90.00 90.00 120.00°
Space group P6_3/mmc (No. 194)
Inequivalent atoms, fractional coordinates:
Yb1 0.0000 0.0000 0.0000
Yb2 0.3333 0.6667 0.2500

=====

> total energy of number 2 (Np3MnTl3Te8)?

-5.8156 eV/atom